No. 1
PaFe2Sb: relaxed, GGA-PBE.

```
PaFe2Sb
1.0
4.602 0.000 0.000
2.301 3.985 0.000
2.301 1.328 4.152
Sb Pa Fe
1 1 2
direct
0.500 0.500 0.500
0.000 0.000 0.000
0.822 0.822 0.534
0.178 0.178 0.466
```

Final energy ... -7.876 eV/atom
Formation energy from raw total energies ... -23.2 kJ/mol of atoms
Volume ... 19.038 A^3/atom
DOS(E_F) ... 3.49 states/eV per cell
E above lowest polymorph ... 0 meV per atom

=====

No. 2
ZrTi3Sb3: relaxed, GGA-PBE.

```
ZrTi3Sb3
1.0
-3.632 2.728 5.773
0.080 -3.579 6.415
4.608 3.323 6.003
Zr Ti Sb
2 6 6
direct
0.334 0.334 0.999
0.666 0.666 0.001
0.485 0.772 0.619
0.772 0.125 0.619
0.125 0.485 0.619
0.875 0.515 0.381
0.228 0.875 0.381
0.515 0.228 0.381
0.234 0.626 0.213
0.928 0.234 0.213
0.626 0.928 0.213
0.374 0.072 0.787
0.072 0.766 0.787
0.766 0.374 0.787
```

Final energy ... -6.615 eV/atom
Formation energy from raw total energies ... -23.5 kJ/mol of atoms
Volume ... 23.678 A^3/atom
DOS(E_F) ... 13.53 states/eV per cell